Entry 1:
Ce3P3Br: relaxed, GGA-PBE.

## Properties
* total magnetization: 0.29 μB per atom
* electronic total energy: -6.337 eV per atom
* DOS(E_F): 14.3 states/eV/f.u.
* V: 26.91 A^3/atom

Cell lengths 8.6804, 8.6804, 17.3171 Å; angles 90.00, 90.00, 120.00 degrees
Space group R-3 (No. 148, hexagonal axes)
Symmetry-distinct sites (fractional):
Ce1 0.0080 0.3543 0.4195 [18 per cell]
P1 0.0059 0.3047 0.5911 [18 per cell]
Br1 0.0000 0.0000 0.1665 [6 per cell]


Entry 2:
Ce5P4Br: relaxed, GGA-PBE.

## Properties
* total magnetization: 0.37 μB per atom
* electronic total energy: -6.764 eV per atom
* DOS(E_F): 23.6 states/eV/f.u.
* V: 24.77 A^3/atom

Cell lengths 4.111, 5.823, 20.690 Å; angles 90.00, 90.00, 90.00 degrees
Space group Immm (No. 71)
Symmetry-distinct sites (fractional):
Ce1 0.000 0.000 0.000 [2 per cell]
Ce2 0.000 0.000 0.199 [4 per cell]
Ce3 0.000 0.000 0.391 [4 per cell]
P1 0.000 0.500 0.202 [4 per cell]
P2 0.000 0.500 0.401 [4 per cell]
Br1 0.000 0.500 0.000 [2 per cell]


Entry 3:
Ce2PBr: relaxed, GGA-PBE.

## Properties
* total magnetization: 0.53 μB per atom
* electronic total energy: -6.116 eV per atom
* DOS(E_F): 10.7 states/eV/f.u.
* V: 26.51 A^3/atom

Cell lengths 4.0177, 4.0177, 22.7534 Å; angles 90.00, 90.00, 120.00 degrees
Space group R3m (No. 160, hexagonal axes)
Symmetry-distinct sites (fractional):
Ce1 0.0000 0.0000 0.0000 [3 per cell]
Ce2 0.0000 0.0000 0.1938 [3 per cell]
P1 0.0000 0.0000 0.5962 [3 per cell]
Br1 0.0000 0.0000 0.7656 [3 per cell]


Entry 4:
Ce4PBr5: relaxed, GGA-PBE.

## Properties
* total magnetization: 0.46 μB per atom
* electronic total energy: -5.332 eV per atom
* DOS(E_F): 23.9 states/eV/f.u.
* V: 31.12 A^3/atom

Cell lengths 18.201, 4.066, 8.609 Å; angles 90.00, 102.39, 90.00 degrees
Space group C2/m (No. 12)
Symmetry-distinct sites (fractional):
Ce1 0.000 0.000 0.223 [4 per cell]
Ce2 0.157 0.500 0.073 [4 per cell]
P1 0.000 0.500 0.000 [2 per cell]
Br1 0.000 0.500 0.500 [2 per cell]
Br2 0.168 0.000 0.333 [4 per cell]
Br3 0.170 0.000 0.816 [4 per cell]


Entry 5:
Ce7PBr12: relaxed, GGA-PBE.

## Properties
* total magnetization: 0.37 μB per atom
* electronic total energy: -5.000 eV per atom
* DOS(E_F): 50.4 states/eV/f.u.
* V: 33.80 A^3/atom

Cell lengths 15.1587, 15.1587, 10.1900 Å; angles 90.00, 90.00, 120.00 degrees
Space group R-3 (No. 148, hexagonal axes)
Symmetry-distinct sites (fractional):
Ce1 0.0000 0.0000 0.0000 [3 per cell]
Ce2 0.0446 0.8787 0.3439 [18 per cell]
P1 0.0000 0.0000 0.5000 [3 per cell]
Br1 0.0234 0.4363 0.1633 [18 per cell]
Br2 0.0494 0.8661 0.8377 [18 per cell]


Entry 6:
Ce2P2Br: relaxed, GGA-PBE.

## Properties
* total magnetization: 0.21 μB per atom
* electronic total energy: -6.080 eV per atom
* DOS(E_F): 10.7 states/eV/f.u.
* V: 28.00 A^3/atom

Cell lengths 4.6858, 4.6858, 7.3635 Å; angles 90.00, 90.00, 120.00 degrees
Space group P-3m1 (No. 164)
Symmetry-distinct sites (fractional):
Ce1 0.3333 0.6667 0.2774 [2 per cell]
P1 0.3333 0.6667 0.6498 [2 per cell]
Br1 0.0000 0.0000 0.0000 [1 per cell]